Material: La2HfPbO
Method: DFT, PBE
State: relaxed

Output
* raw formation energy: -1.237 eV per atom

POSCAR file:
```
La2HfPbO
1.0
-2.170 -0.759 -4.776
0.798 -5.219 0.467
-3.890 -0.430 1.836
Hf La Pb O
1 2 1 1
direct
0.000 0.000 0.500
0.500 0.000 0.000
0.000 0.500 0.000
0.500 0.500 0.500
0.000 0.000 0.000
```

Material: CaUS3
Method: DFT, PBE
State: relaxed

Output
* energy relative to the lowest polymorph listed for this composition: 0 meV per atom
* raw formation energy: -1.674 eV per atom

POSCAR file:
```
CaUS3
1.0
-1.039 2.143 -3.186
-4.724 -5.319 -2.037
-11.087 6.728 8.143
U S Ca
4 12 4
direct
0.750 0.741 0.040
0.250 0.759 0.540
0.250 0.259 0.960
0.750 0.241 0.460
0.750 0.626 0.437
0.750 0.126 0.063
0.250 0.677 0.713
0.250 0.514 0.094
0.750 0.823 0.213
0.250 0.014 0.406
0.250 0.874 0.937
0.750 0.486 0.906
0.250 0.177 0.787
0.250 0.374 0.563
0.750 0.986 0.594
0.750 0.323 0.287
0.750 0.896 0.785
0.250 0.104 0.215
0.750 0.396 0.715
0.250 0.604 0.285
```

Material: YSiPb3
Method: DFT, PBE
State: relaxed

Output
* energy relative to the lowest polymorph listed for this composition: 0 meV per atom
* raw formation energy: 0.402 eV per atom

POSCAR file:
```
YSiPb3
1.0
-5.263 0.094 -1.172
-1.169 -0.993 5.170
-0.126 5.300 0.989
Si Pb Y
1 3 1
direct
0.000 0.000 0.000
0.000 0.000 0.500
0.000 0.500 0.000
0.500 0.000 0.000
0.500 0.500 0.500
```

Material: RbLiNi3
Method: DFT, PBE
State: relaxed

Output
* energy relative to the lowest polymorph listed for this composition: 0 meV per atom
* ΔE_f: 1.070 eV/atom

POSCAR file:
```
RbLiNi3
1.0
4.468 0.000 0.000
0.000 4.468 0.000
0.000 0.000 4.468
Ni Rb Li
3 1 1
direct
0.500 0.000 0.000
0.000 0.000 0.500
0.000 0.500 0.000
0.500 0.500 0.500
0.000 0.000 0.000
```

Material: RuPt2Se
Method: DFT, PBE
State: relaxed

Output
* raw formation energy: 0.136 eV per atom

POSCAR file:
```
RuPt2Se
1.0
3.578 0.000 0.000
0.000 2.684 -0.400
0.000 1.022 6.838
Ru Pt Se
1 2 1
direct
0.500 0.250 0.250
0.000 0.750 0.470
0.000 0.750 0.030
0.500 0.750 0.750
```

Material: Ba3Li4Zn
Method: DFT, PBE
State: relaxed

Output
* ΔE_f: 0.019 eV/atom

POSCAR file:
```
Ba3Li4Zn
1.0
7.078 0.000 0.000
0.000 6.504 0.000
0.000 0.000 13.120
Ba Li Zn
6 8 2
direct
0.803 0.500 0.241
0.434 0.500 0.500
0.197 0.000 0.259
0.803 0.500 0.759
0.197 0.000 0.741
0.566 0.000 0.000
0.337 0.500 0.886
0.337 0.500 0.114
0.031 0.260 0.000
0.969 0.760 0.500
0.969 0.240 0.500
0.663 0.000 0.386
0.031 0.740 0.000
0.663 0.000 0.614
0.681 0.500 0.000
0.319 0.000 0.500
```

Material: K2Ga2Pt
Method: DFT, PBE
State: relaxed

Output
* energy relative to the lowest polymorph listed for this composition: 848 meV per atom
* ΔE_f: 0.487 eV/atom

POSCAR file:
```
K2Ga2Pt
1.0
-1.482 -2.527 -2.848
-2.654 -1.505 2.717
-7.045 3.155 -2.063
Ga K Pt
2 2 1
direct
0.419 0.419 0.161
0.581 0.581 0.839
0.250 0.750 0.500
0.750 0.250 0.500
0.000 0.000 0.000
```

Material: LuSnIr
Method: DFT, PBE
State: relaxed

Output
* ΔE_f: -0.844 eV/atom

POSCAR file:
```
LuSnIr
1.0
7.601 0.000 0.000
-3.801 6.583 0.000
0.000 0.000 3.682
Sn Lu Ir
3 3 3
direct
0.269 0.269 0.000
0.731 0.000 0.000
0.000 0.731 0.000
0.399 0.000 0.500
0.601 0.601 0.500
0.000 0.399 0.500
0.333 0.667 0.000
0.667 0.333 0.000
0.000 0.000 0.500
```